DFT (PBE-GGA) results for a relaxed structure of LiCaBeGe2.

Output
ρ	3.8	g/cm³
ΔH_f (0 K)	-0.351	eV per atom
E	-3.7265	eV/atom

The structure in CIF format:
```
data_LiCaBeGe2
_cell_length_a 4.084
_cell_length_b 4.084
_cell_length_c 10.440
_cell_angle_alpha 90.00
_cell_angle_beta 90.00
_cell_angle_gamma 90.00
_space_group_name_H-M_alt 'I -4 m 2'
_space_group_IT_number 119
_space_group_name_Hall 'I -4 -2'
loop_
_atom_site_label
_atom_site_fract_x
_atom_site_fract_y
_atom_site_fract_z
_atom_site_occupancy
Li1 0.000 0.000 0.000 1
Ca1 0.000 0.500 0.250 1
Be1 0.000 0.000 0.500 1
Ge1 0.000 0.500 0.630 1
```

DFT (PBE-GGA) results for a relaxed structure of DyYTaN3.

Output
ρ	7.2	g/cm³
raw formation energy	-678	kJ/mol of formula units
E	-9.1539	eV/atom

The structure in CIF format:
```
data_DyYTaN3
_cell_length_a 7.148
_cell_length_b 3.410
_cell_length_c 9.216
_cell_angle_alpha 90.00
_cell_angle_beta 103.87
_cell_angle_gamma 90.00
_space_group_name_H-M_alt 'P 1 21/m 1'
_space_group_IT_number 11
loop_
_space_group_symop_operation_xyz
'x,y,z'
'-x,-y,-z'
'-x,y+1/2,-z'
'x,-y+1/2,z'
loop_
_atom_site_label
_atom_site_fract_x
_atom_site_fract_y
_atom_site_fract_z
_atom_site_occupancy
Dy1 0.149 0.250 0.145 1
Y1 0.317 0.750 0.875 1
Ta1 0.481 0.750 0.367 1
N1 0.094 0.250 0.884 1
N2 0.348 0.250 0.403 1
N3 0.421 0.750 0.140 1
```

DFT (PBE-GGA) results for a relaxed structure of HfB2Pb.

Output
ρ	10.1	g/cm³
ΔH_f (0 K)	0.818	eV per atom
E	-5.9358	eV/atom

The structure in CIF format:
```
data_HfB2Pb
_cell_length_a 6.246
_cell_length_b 6.246
_cell_length_c 6.895
_cell_angle_alpha 90.00
_cell_angle_beta 90.00
_cell_angle_gamma 90.00
_space_group_name_H-M_alt 'I -4 2 d'
_space_group_IT_number 122
_space_group_name_Hall 'I -4 2bw'
loop_
_atom_site_label
_atom_site_fract_x
_atom_site_fract_y
_atom_site_fract_z
_atom_site_occupancy
Hf1 0.000 0.000 0.000 1
B1 0.249 0.250 0.125 1
Pb1 0.000 0.000 0.500 1
```

DFT (PBE-GGA) results for a relaxed structure of Tm6AsP5.

Output
ρ	7.8	g/cm³
ΔH_f (0 K)	-1.588	eV per atom
E	-6.4650	eV/atom

The structure in CIF format:
```
data_Tm6AsP5
_cell_length_a 6.875
_cell_length_b 11.902
_cell_length_c 6.870
_cell_angle_alpha 90.00
_cell_angle_beta 109.47
_cell_angle_gamma 90.00
_space_group_name_H-M_alt 'C 1 2/m 1'
_space_group_IT_number 12
loop_
_space_group_symop_operation_xyz
'x,y,z'
'-x,-y,-z'
'-x,y,-z'
'x,-y,z'
'x+1/2,y+1/2,z'
'-x+1/2,-y+1/2,-z'
'-x+1/2,y+1/2,-z'
'x+1/2,-y+1/2,z'
loop_
_atom_site_label
_atom_site_fract_x
_atom_site_fract_y
_atom_site_fract_z
_atom_site_occupancy
Tm1 0.246 0.000 0.252 1
Tm2 0.247 0.169 0.748 1
As1 0.000 0.500 0.000 1
P1 0.000 0.000 0.500 1
P2 0.000 0.167 0.000 1
P3 0.000 0.334 0.500 1
```

DFT (PBE-GGA) results for a relaxed structure of SmDyMg5.

Output
ρ	3.7	g/cm³
ΔH_f (0 K)	0.101	eV per atom
E	-2.3694	eV/atom

The structure in CIF format:
```
data_SmDyMg5
_cell_length_a 6.368
_cell_length_b 9.721
_cell_length_c 6.639
_cell_angle_alpha 90.00
_cell_angle_beta 109.93
_cell_angle_gamma 90.00
_space_group_name_H-M_alt 'C 1 2/m 1'
_space_group_IT_number 12
loop_
_space_group_symop_operation_xyz
'x,y,z'
'-x,-y,-z'
'-x,y,-z'
'x,-y,z'
'x+1/2,y+1/2,z'
'-x+1/2,-y+1/2,-z'
'-x+1/2,y+1/2,-z'
'x+1/2,-y+1/2,z'
loop_
_atom_site_label
_atom_site_fract_x
_atom_site_fract_y
_atom_site_fract_z
_atom_site_occupancy
Sm1 0.000 0.000 0.000 1
Dy1 0.000 0.500 0.500 1
Mg1 0.000 0.000 0.500 1
Mg2 0.204 0.288 0.226 1
```

DFT (PBE-GGA) results for a relaxed structure of KAl2Co.

Output
ρ	3.2	g/cm³
ΔH_f (0 K)	0.868	eV per atom
relative energy among the computed polymorphs	3.37	eV/f.u.
E	-3.0546	eV/atom

The structure in CIF format:
```
data_KAl2Co
_cell_length_a 5.249
_cell_length_b 5.249
_cell_length_c 2.831
_cell_angle_alpha 90.00
_cell_angle_beta 90.00
_cell_angle_gamma 90.00
_space_group_name_H-M_alt 'P 4/m m m'
_space_group_IT_number 123
_space_group_name_Hall '-P 4 2'
loop_
_atom_site_label
_atom_site_fract_x
_atom_site_fract_y
_atom_site_fract_z
_atom_site_occupancy
K1 0.000 0.000 0.000 1
Al1 0.000 0.500 0.500 1
Co1 0.500 0.500 0.000 1
```

DFT (PBE-GGA) results for a relaxed structure of PrTe4.

Output
ρ	4.8	g/cm³
raw formation energy	61	kJ/mol of formula units
E	-3.3424	eV/atom

The structure in CIF format:
```
data_PrTe4
_cell_length_a 6.084
_cell_length_b 6.084
_cell_length_c 6.084
_cell_angle_alpha 90.00
_cell_angle_beta 90.00
_cell_angle_gamma 90.00
_space_group_name_H-M_alt 'P m -3 m'
_space_group_IT_number 221
_space_group_name_Hall '-P 4 2 3'
loop_
_atom_site_label
_atom_site_fract_x
_atom_site_fract_y
_atom_site_fract_z
_atom_site_occupancy
Pr1 0.000 0.000 0.000 1
Te1 0.000 0.000 0.500 1
Te2 0.500 0.500 0.500 1
```

DFT (PBE-GGA) results for a relaxed structure of ZrAgHRh2.

Output
ρ	5.4	g/cm³
relative energy among the computed polymorphs	9.05	eV/f.u.
E	-4.4466	eV/atom

The structure in CIF format:
```
data_ZrAgHRh2
_cell_length_a 4.786
_cell_length_b 4.786
_cell_length_c 5.433
_cell_angle_alpha 90.00
_cell_angle_beta 90.00
_cell_angle_gamma 90.00
_space_group_name_H-M_alt 'P 4/m m m'
_space_group_IT_number 123
_space_group_name_Hall '-P 4 2'
loop_
_atom_site_label
_atom_site_fract_x
_atom_site_fract_y
_atom_site_fract_z
_atom_site_occupancy
Zr1 0.000 0.000 0.000 1
Ag1 0.000 0.000 0.500 1
H1 0.500 0.500 0.500 1
Rh1 0.000 0.500 0.000 1
```

DFT (PBE-GGA) results for a relaxed structure of ZrCdBi2.

Output
ρ	10.0	g/cm³
ΔH_f (0 K)	-0.040	eV per atom
E	-4.3461	eV/atom

The structure in CIF format:
```
data_ZrCdBi2
_cell_length_a 5.079
_cell_length_b 5.079
_cell_length_c 3.989
_cell_angle_alpha 90.00
_cell_angle_beta 90.00
_cell_angle_gamma 90.00
_space_group_name_H-M_alt 'P 4/m m m'
_space_group_IT_number 123
_space_group_name_Hall '-P 4 2'
loop_
_atom_site_label
_atom_site_fract_x
_atom_site_fract_y
_atom_site_fract_z
_atom_site_occupancy
Zr1 0.000 0.000 0.000 1
Cd1 0.500 0.500 0.000 1
Bi1 0.000 0.500 0.500 1
```

DFT (PBE-GGA) results for a relaxed structure of SiB2Br.

Output
ρ	3.5	g/cm³
relative energy among the computed polymorphs	0.27	eV/f.u.
raw formation energy	25	kJ/mol of formula units
E	-5.0478	eV/atom

The structure in CIF format:
```
data_SiB2Br
_cell_length_a 6.104
_cell_length_b 3.410
_cell_length_c 12.073
_cell_angle_alpha 90.00
_cell_angle_beta 100.85
_cell_angle_gamma 90.00
_space_group_name_H-M_alt 'C 1 m 1'
_space_group_IT_number 8
loop_
_space_group_symop_operation_xyz
'x,y,z'
'x,-y,z'
'x+1/2,y+1/2,z'
'x+1/2,-y+1/2,z'
loop_
_atom_site_label
_atom_site_fract_x
_atom_site_fract_y
_atom_site_fract_z
_atom_site_occupancy
Si1 0.000 0.000 0.000 1
Si2 0.206 0.500 0.667 1
B1 0.052 0.000 0.718 1
B2 0.152 0.246 0.848 1
B3 0.426 0.000 0.917 1
Br1 0.136 0.500 0.475 1
Br2 0.218 0.000 0.172 1
```

DFT (PBE-GGA) results for a relaxed structure of TlH2Pt2.

Output
ρ	12.8	g/cm³
relative energy among the computed polymorphs	1.10	eV/f.u.
E	-4.0416	eV/atom

The structure in CIF format:
```
data_TlH2Pt2
_cell_length_a 7.126
_cell_length_b 7.126
_cell_length_c 3.045
_cell_angle_alpha 90.00
_cell_angle_beta 90.00
_cell_angle_gamma 90.00
_space_group_name_H-M_alt 'P 4/m b m'
_space_group_IT_number 127
_space_group_name_Hall '-P 4 2ab'
loop_
_atom_site_label
_atom_site_fract_x
_atom_site_fract_y
_atom_site_fract_z
_atom_site_occupancy
Tl1 0.000 0.000 0.000 1
H1 0.210 0.290 0.500 1
Pt1 0.132 0.368 0.000 1
```

DFT (PBE-GGA) results for a relaxed structure of Cd2HgBi.

Output
ρ	9.3	g/cm³
ΔH_f (0 K)	0.084	eV per atom
relative energy among the computed polymorphs	0.21	eV/f.u.
E	-1.4191	eV/atom

The structure in CIF format:
```
data_Cd2HgBi
_cell_length_a 4.6875
_cell_length_b 4.6875
_cell_length_c 17.7992
_cell_angle_alpha 90.00
_cell_angle_beta 90.00
_cell_angle_gamma 120.00
_space_group_name_H-M_alt 'R 3 m'
_space_group_IT_number 160
_space_group_name_Hall 'R 3 -2"'
loop_
_atom_site_label
_atom_site_fract_x
_atom_site_fract_y
_atom_site_fract_z
_atom_site_occupancy
Cd1 0.0000 0.0000 0.0000 1
Cd2 0.0000 0.0000 0.1847 1
Hg1 0.0000 0.0000 0.5867 1
Bi1 0.0000 0.0000 0.7655 1
```